# KBaCoO3

A geometry-optimized KBaCoO3 structure (PBE+U, the Alexandria database).

- M_tot: 2.871 μB/f.u.
- DOS(E_F): 4.63 states/eV/cell
- E_tot: -5.4340 eV/atom

Cell: 13.8546 3.9728 7.9225 Å, 90.00 107.24 90.00°
Last column: nearest neighbours and their distance in Å.
Space group C2/m (No. 12)
One atom of each set of equivalent atoms:
K  0.1420  0.0000  0.0656 x4  7 O 2.82-3.00
Ba  0.1518  0.0000  0.5878 x4  7 O 2.70-2.78
Co  0.0055  0.5000  0.2606 x4  4 O 1.81-1.99
O  0.0057  0.0000  0.2683 x4  2 Co 1.99
O  0.1310  0.5000  0.8061 x4  1 Co 1.81
O  0.1434  0.5000  0.3384 x4  1 Co 1.83